A.
Entry from the Alexandria database: a geometry-optimized SbPS2O structure (PBE).

a = 4.945 Å, b = 4.945 Å, c = 5.358 Å
α = 90.00°, β = 90.00°, γ = 90.00°
Positions (direct):
Sb1 0.000 0.000 0.000
P1 0.000 0.000 0.500
S1 0.000 0.500 0.000
S2 0.500 0.000 0.000
O1 0.500 0.500 0.500

=====

B.
Entry from the Alexandria database: a geometry-optimized SbPS2O structure (PBE).

a = 4.433 Å, b = 4.433 Å, c = 4.185 Å
α = 90.00°, β = 90.00°, γ = 90.00°
Positions (direct):
Sb1 0.000 0.000 0.000
P1 0.500 0.500 0.000
S1 0.000 0.500 0.500
S2 0.500 0.000 0.500
O1 0.500 0.500 0.500

=====

The most stable of them is B.

=====

A.
Entry from the Alexandria database: a geometry-optimized ScP2SO structure (PBE).

a = 5.123 Å, b = 5.123 Å, c = 3.828 Å
α = 90.00°, β = 90.00°, γ = 90.00°
Positions (direct):
Sc1 0.000 0.000 0.000
P1 0.000 0.500 0.000
P2 0.500 0.000 0.000
S1 0.500 0.500 0.500
O1 0.000 0.000 0.500

=====

B.
Entry from the Alexandria database: a geometry-optimized ScP2SO structure (PBE).

a = 4.657 Å, b = 4.657 Å, c = 3.563 Å
α = 90.00°, β = 90.00°, γ = 90.00°
Positions (direct):
Sc1 0.000 0.000 0.000
P1 0.000 0.500 0.500
P2 0.500 0.000 0.500
S1 0.500 0.500 0.500
O1 0.500 0.500 0.000

=====

The most stable of them is B.

=====

A.
Entry from the Alexandria database: a geometry-optimized PSeS2O structure (PBE).

a = 4.289 Å, b = 4.289 Å, c = 4.295 Å
α = 90.00°, β = 90.00°, γ = 90.00°
Positions (direct):
P1 0.000 0.000 0.000
Se1 0.500 0.500 0.000
S1 0.000 0.500 0.500
S2 0.500 0.000 0.500
O1 0.000 0.000 0.500

=====

B.
Entry from the Alexandria database: a geometry-optimized PSeS2O structure (PBE).

a = 4.770 Å, b = 4.770 Å, c = 4.935 Å
α = 90.00°, β = 90.00°, γ = 90.00°
Positions (direct):
P1 0.000 0.000 0.000
Se1 0.000 0.000 0.500
S1 0.000 0.500 0.500
S2 0.500 0.000 0.500
O1 0.500 0.500 0.000

=====

The most stable of them is A.

=====

A.
Entry from the Alexandria database: a geometry-optimized SiPS2O structure (PBE).

a = 4.400 Å, b = 4.400 Å, c = 4.627 Å
α = 90.00°, β = 90.00°, γ = 90.00°
Positions (direct):
Si1 0.000 0.000 0.000
P1 0.000 0.000 0.500
S1 0.000 0.500 0.000
S2 0.500 0.000 0.000
O1 0.500 0.500 0.500

=====

B.
Entry from the Alexandria database: a geometry-optimized SiPS2O structure (PBE).

a = 4.256 Å, b = 4.256 Å, c = 4.167 Å
α = 90.00°, β = 90.00°, γ = 90.00°
Positions (direct):
Si1 0.000 0.000 0.000
P1 0.500 0.500 0.000
S1 0.000 0.500 0.500
S2 0.500 0.000 0.500
O1 0.500 0.500 0.500

=====

The most stable of them is B.

=====

A.
Entry from the Alexandria database: a geometry-optimized SrP2SO structure (PBE).

a = 5.896 Å, b = 5.896 Å, c = 4.322 Å
α = 90.00°, β = 90.00°, γ = 90.00°
Positions (direct):
Sr1 0.000 0.000 0.000
P1 0.000 0.500 0.000
P2 0.500 0.000 0.000
S1 0.500 0.500 0.500
O1 0.000 0.000 0.500

=====

B.
Entry from the Alexandria database: a geometry-optimized SrP2SO structure (PBE).

a = 3.999 Å, b = 3.999 Å, c = 6.616 Å
α = 90.00°, β = 90.00°, γ = 90.00°
Positions (direct):
Sr1 0.000 0.000 0.000
P1 0.000 0.500 0.500
P2 0.500 0.000 0.500
S1 0.500 0.500 0.000
O1 0.500 0.500 0.500

=====

C.
Entry from the Alexandria database: a geometry-optimized SrP2SO structure (PBE).

a = 4.580 Å, b = 4.580 Å, c = 4.403 Å
α = 90.00°, β = 90.00°, γ = 90.00°
Positions (direct):
Sr1 0.000 0.000 0.000
P1 0.000 0.500 0.500
P2 0.500 0.000 0.500
S1 0.500 0.500 0.500
O1 0.500 0.500 0.000

=====

The most stable of them is B.

=====

A.
Entry from the Alexandria database: a geometry-optimized TaP2SO structure (PBE).

a = 4.946 Å, b = 4.946 Å, c = 3.834 Å
α = 90.00°, β = 90.00°, γ = 90.00°
Positions (direct):
Ta1 0.000 0.000 0.000
P1 0.000 0.500 0.000
P2 0.500 0.000 0.000
S1 0.500 0.500 0.500
O1 0.000 0.000 0.500

=====

B.
Entry from the Alexandria database: a geometry-optimized TaP2SO structure (PBE).

a = 3.726 Å, b = 3.726 Å, c = 5.178 Å
α = 90.00°, β = 90.00°, γ = 90.00°
Positions (direct):
Ta1 0.000 0.000 0.000
P1 0.000 0.500 0.500
P2 0.500 0.000 0.500
S1 0.500 0.500 0.000
O1 0.500 0.500 0.500

=====

The most stable of them is A.

=====

A.
Entry from the Alexandria database: a geometry-optimized TePS2O structure (PBE).

a = 4.474 Å, b = 4.474 Å, c = 4.104 Å
α = 90.00°, β = 90.00°, γ = 90.00°
Positions (direct):
Te1 0.000 0.000 0.000
P1 0.500 0.500 0.000
S1 0.000 0.500 0.500
S2 0.500 0.000 0.500
O1 0.500 0.500 0.500

=====

B.
Entry from the Alexandria database: a geometry-optimized TePS2O structure (PBE).

a = 4.956 Å, b = 4.956 Å, c = 5.312 Å
α = 90.00°, β = 90.00°, γ = 90.00°
Positions (direct):
Te1 0.000 0.000 0.000
P1 0.000 0.000 0.500
S1 0.000 0.500 0.000
S2 0.500 0.000 0.000
O1 0.500 0.500 0.500

=====

The most stable of them is A.

=====

A.
Entry from the Alexandria database: a geometry-optimized TeP2SO structure (PBE).

a = 3.889 Å, b = 3.889 Å, c = 6.353 Å
α = 90.00°, β = 90.00°, γ = 90.00°
Positions (direct):
Te1 0.000 0.000 0.000
P1 0.000 0.500 0.500
P2 0.500 0.000 0.500
S1 0.500 0.500 0.000
O1 0.500 0.500 0.500

=====

B.
Entry from the Alexandria database: a geometry-optimized TeP2SO structure (PBE).

a = 5.176 Å, b = 5.176 Å, c = 4.926 Å
α = 90.00°, β = 90.00°, γ = 90.00°
Positions (direct):
Te1 0.000 0.000 0.000
P1 0.000 0.500 0.000
P2 0.500 0.000 0.000
S1 0.000 0.000 0.500
O1 0.500 0.500 0.500

=====

The most stable of them is A.

=====

A.
Entry from the Alexandria database: a geometry-optimized TiP2SO structure (PBE).

a = 4.556 Å, b = 4.556 Å, c = 3.484 Å
α = 90.00°, β = 90.00°, γ = 90.00°
Positions (direct):
Ti1 0.000 0.000 0.000
P1 0.000 0.500 0.500
P2 0.500 0.000 0.500
S1 0.500 0.500 0.500
O1 0.500 0.500 0.000

=====

B.
Entry from the Alexandria database: a geometry-optimized TiP2SO structure (PBE).

a = 3.710 Å, b = 3.710 Å, c = 5.493 Å
α = 90.00°, β = 90.00°, γ = 90.00°
Positions (direct):
Ti1 0.000 0.000 0.000
P1 0.000 0.500 0.500
P2 0.500 0.000 0.500
S1 0.500 0.500 0.000
O1 0.500 0.500 0.500

=====

The most stable of them is B.

=====

A.
Entry from the Alexandria database: a geometry-optimized TiP2SO structure (PBE).

a = 4.891 Å, b = 4.891 Å, c = 3.662 Å
α = 90.00°, β = 90.00°, γ = 90.00°
Positions (direct):
Ti1 0.000 0.000 0.000
P1 0.000 0.500 0.000
P2 0.500 0.000 0.000
S1 0.500 0.500 0.500
O1 0.000 0.000 0.500

=====

B.
Entry from the Alexandria database: a geometry-optimized TiP2SO structure (PBE).

a = 4.699 Å, b = 4.699 Å, c = 4.466 Å
α = 90.00°, β = 90.00°, γ = 90.00°
Positions (direct):
Ti1 0.000 0.000 0.000
P1 0.000 0.500 0.000
P2 0.500 0.000 0.000
S1 0.000 0.000 0.500
O1 0.500 0.500 0.500

=====

The most stable of them is A.

=====

A.
Entry from the Alexandria database: a geometry-optimized TiPS2O structure (PBE).

a = 4.275 Å, b = 4.275 Å, c = 3.951 Å
α = 90.00°, β = 90.00°, γ = 90.00°
Positions (direct):
Ti1 0.000 0.000 0.000
P1 0.500 0.500 0.000
S1 0.000 0.500 0.500
S2 0.500 0.000 0.500
O1 0.500 0.500 0.500

=====

B.
Entry from the Alexandria database: a geometry-optimized TiPS2O structure (PBE).

a = 4.576 Å, b = 4.576 Å, c = 4.885 Å
α = 90.00°, β = 90.00°, γ = 90.00°
Positions (direct):
Ti1 0.000 0.000 0.000
P1 0.000 0.000 0.500
S1 0.000 0.500 0.000
S2 0.500 0.000 0.000
O1 0.500 0.500 0.500

=====

The most stable of them is A.